No. 1
Material: Tb2Cd3In3
Method: DFT, PBE
State: relaxed

Cell and atoms, written as extended XYZ:
```
8
Lattice="4.667 0.000 0.000 0.000 4.590 0.000 0.000 0.000 9.095" Properties=species:S:1:pos:R:3 pbc="T T T"
Cd 2.334 2.295 6.861
Tb 0.000 0.000 6.812
In 0.000 2.295 4.547
Tb 0.000 0.000 2.283
Cd 2.334 0.000 0.000
Cd 2.334 2.295 2.234
In 0.000 2.295 0.000
In 2.334 0.000 4.547
```

Properties
* total magnetic moment: 0.0 μB/cell
* V: 24.4 A^3/atom
* electronic total energy: -2.895 eV/atom


No. 2
Material: Tb5Cd3In
Method: DFT, PBE
State: relaxed

Cell and atoms, written as extended XYZ:
```
18
Lattice="6.647 0.000 0.000 0.000 9.291 0.000 0.000 -4.646 8.047" Properties=species:S:1:pos:R:3 pbc="T T T"
Tb 3.324 0.000 5.364
Cd 4.985 1.696 2.938
Tb 1.662 1.395 2.416
Cd 4.985 6.342 5.109
Cd 1.662 2.950 5.109
Tb 4.985 7.897 2.416
Tb 4.985 2.790 0.000
Tb 0.000 4.646 2.682
Tb 1.662 6.502 0.000
In 0.000 0.000 0.000
Tb 1.662 -3.251 5.631
In 3.324 0.000 0.000
Tb 4.985 3.251 5.631
Cd 4.985 5.899 0.000
Tb 0.000 0.000 5.364
Tb 3.324 4.646 2.682
Cd 1.662 3.392 0.000
Cd 1.662 -1.696 2.938
```

Properties
* total magnetic moment: 0.0 μB/cell
* V: 27.6 A^3/atom
* electronic total energy: -3.448 eV/atom


No. 3
Material: Tb5Cd2In
Method: DFT, PBE
State: relaxed

Cell and atoms, written as extended XYZ:
```
16
Lattice="7.859 0.000 0.000 0.000 7.859 0.000 -3.929 -3.929 7.509" Properties=species:S:1:pos:R:3 pbc="T T T"
Cd 4.949 1.019 0.000
In 0.000 0.000 3.755
Tb -2.655 1.274 5.183
Tb 0.000 0.000 0.000
Tb -1.274 -2.655 5.183
Tb 5.204 6.585 2.326
Tb 6.585 2.655 2.326
Tb 3.929 3.929 0.000
Tb 1.274 2.655 5.183
In 3.929 3.929 3.755
Tb 2.655 -1.274 5.183
Cd 1.019 2.910 0.000
Tb 1.274 5.204 2.326
Cd 6.840 4.949 0.000
Cd 2.910 6.840 0.000
Tb 2.655 1.274 2.326
```

Properties
* total magnetic moment: 0.0 μB/cell
* V: 29.0 A^3/atom
* electronic total energy: -3.698 eV/atom